P | Here is a relaxed structure of MgTaCuSb from the Open Quantum Materials Database. Energies are from GGA-PBE.

Lattice parameters (Å, degrees): 4.705 4.705 4.705 60.00 60.00 60.00
Element x y z (fractional)
Cu  0.750  0.750  0.750
Mg  0.500  0.500  0.500
Sb  0.000  0.000  0.000
Ta  0.250  0.250  0.250

Values from the calculation:
The value obtained for the spin magnetization is 0.05 μB per cell.

Q | Here is a relaxed structure of MgTaCuSb from the Open Quantum Materials Database. Energies are from GGA-PBE.

Lattice parameters (Å, degrees): 4.714 4.714 4.714 60.00 60.00 60.00
Element x y z (fractional)
Cu  0.750  0.750  0.750
Mg  0.250  0.250  0.250
Sb  0.000  0.000  0.000
Ta  0.500  0.500  0.500

Values from the calculation:
The value obtained for the spin magnetization is 1.06 μB per cell.

Which is more stable than every other structure shown? P is more stable than every other one.